Y3NbIn | PBE | relaxed

a b c (Å): 5.4111 5.4111 5.4111
angles (deg): 90.00 90.00 90.00
Closest atoms and distances in Å follow each position.
Sites, in units of the cell vectors:
In (0.5000, 0.5000, 0.5000)  12 Y 3.83
Y (0.5000, 0.0000, 0.0000)  2 Nb 2.71
Y (0.0000, 0.5000, 0.0000)  2 Nb 2.71
Y (0.0000, 0.0000, 0.5000)  2 Nb 2.71
Nb (0.0000, 0.0000, 0.0000)  6 Y 2.71

Values from the calculation:
- Density: 4973 kg/m³
- Total magnetization: 0.00 Bohr magnetons per cell
- Final energy: -5.971 eV per atom
- DFT formation energy: 0.469 eV per atom
- Symmetry: Pm-3m, No. 221